SmPdPt: optimized geometry, PBE.

Cell lengths 6.557, 6.557, 6.557 Å; angles 90.00, 90.00, 90.00 degrees
Element x y z (fractional)
Sm: 0.000 0.000 0.000
Sm: 0.000 0.500 0.500
Sm: 0.500 0.000 0.500
Sm: 0.500 0.500 0.000
Pd: 0.000 0.000 0.500
Pd: 0.000 0.500 0.000
Pd: 0.500 0.000 0.000
Pd: 0.500 0.500 0.500
Pt: 0.250 0.250 0.750
Pt: 0.250 0.750 0.250
Pt: 0.750 0.250 0.250
Pt: 0.750 0.750 0.750

Symmetry: No. 216
Polymorph energy (0 for the lowest one) (eV/atom): 0.000
Energy of formation (kcal/mol of atoms): -15.823
Magnetization (μB per cell): 0.0

***

Sm2Sn2PdPt3: optimized geometry, PBE.

Cell lengths 4.610, 4.610, 9.218 Å; angles 90.00, 90.00, 120.00 degrees
Element x y z (fractional)
Sm: 0.000 0.000 0.000
Sm: 0.333 0.667 0.503
Sn: 0.667 0.333 0.247
Sn: 0.667 0.333 0.750
Pd: 0.000 0.000 0.336
Pt: 0.000 0.000 0.661
Pt: 0.333 0.667 0.168
Pt: 0.333 0.667 0.839

E_tot (eV/atom): -6.049
Symmetry: No. 156
Magnetization (μB per cell): 0.0

***

Sm3Sn3PdPt2: optimized geometry, PBE.

Cell lengths 7.604, 7.604, 4.099 Å; angles 90.00, 90.00, 120.00 degrees
Element x y z (fractional)
Sm: 0.000 0.410 0.000
Sm: 0.410 0.000 0.000
Sm: 0.590 0.590 0.000
Sn: 0.000 0.746 0.500
Sn: 0.254 0.254 0.500
Sn: 0.746 0.000 0.500
Pd: 0.000 0.000 0.000
Pt: 0.333 0.667 0.500
Pt: 0.667 0.333 0.500

E_tot (eV/atom): -5.859
Symmetry: No. 189
Magnetization (μB per cell): 0.0

***

Tb2SmSn3PdPt2: optimized geometry, PBE.

Cell lengths 4.060, 7.568, 7.568 Å; angles 120.20, 90.00, 90.00 degrees
Element x y z (fractional)
Tb: 0.000 0.205 0.795
Tb: 0.000 0.795 0.205
Sm: 0.000 0.615 0.615
Sn: 0.500 0.204 0.460
Sn: 0.500 0.460 0.204
Sn: 0.500 0.949 0.949
Pd: 0.000 0.202 0.202
Pt: 0.500 0.537 0.875
Pt: 0.500 0.875 0.537

E_tot (eV/atom): -5.852
Symmetry: No. 38
Magnetization (μB per cell): 0.0